# 1
Density functional theory data (PBE-GGA) for an optimized crystal structure of SrIn2Sb2.

Output
Raw formation energy: -0.336 eV per atom
Calculated density: 5.857 g cm⁻³
Total magnetic moment: 0.00 μB/cell
Space group: No. 139

Lattice parameters (Å, degrees): 5.6292 5.6292 6.4047 63.93 63.93 90.00
Fractional coordinates of all 5 atoms:
Sb 0.7500 0.2500 0.5000
Sr 0.0000 0.0000 0.0000
Sb 0.2500 0.7500 0.5000
In 0.6414 0.6414 0.7172
In 0.3586 0.3586 0.2828


# 2
Density functional theory data (PBE-GGA) for an optimized crystal structure of ReRu.

Output
Calculated density: 15.906 g cm⁻³
Total magnetic moment: 0.00 μB/cell
Formation energy from the elements: 0.285 eV per atom
Space group: No. 65

Lattice parameters (Å, degrees): 14.7074 4.3890 2.7877 90.00 90.00 90.00
Fractional coordinates of all 12 atoms:
Ru 0.1467 0.5000 0.0000
Re 0.8051 0.0000 0.5000
Re 0.3051 0.5000 0.5000
Ru 0.5000 0.5000 0.0000
Ru 0.0000 0.0000 0.0000
Re 0.0000 0.5000 0.5000
Ru 0.3533 0.0000 0.0000
Ru 0.6467 0.0000 0.0000
Ru 0.8533 0.5000 0.0000
Re 0.1949 0.0000 0.5000
Re 0.6949 0.5000 0.5000
Re 0.5000 0.0000 0.5000


# 3
Density functional theory data (PBE-GGA) for an optimized crystal structure of La2Dy4Th3.

Output
Calculated density: 9.046 g cm⁻³
Total magnetic moment: 0.00 μB/cell
Formation energy from the elements: 0.077 eV per atom
Space group: No. 156

Lattice parameters (Å, degrees): 3.5771 3.5771 26.9007 90.00 90.00 120.00
Fractional coordinates of all 9 atoms:
Dy 0.6667 0.3333 0.2210
La 0.6667 0.3333 0.0932
Th 0.0000 0.0000 0.9822
Dy 0.0000 0.0000 0.5417
Dy 0.6667 0.3333 0.4358
Th 0.6667 0.3333 0.6499
Dy 0.0000 0.0000 0.7567
La 0.6667 0.3333 0.8706
Th 0.0000 0.0000 0.3260


# 4
Density functional theory data (PBE-GGA) for an optimized crystal structure of Nd2Ho3In.

Output
Energy above the most stable polymorph in this dataset: 0.247 kcal/mol of atoms
Calculated density: 8.017 g cm⁻³
Total magnetic moment: 0.00 μB/cell
Formation energy from the elements: -0.136 eV per atom
Space group: No. 74

Lattice parameters (Å, degrees): 5.1392 9.4149 9.4149 111.15 105.84 105.84
Fractional coordinates of all 12 atoms:
In 0.7500 0.3952 0.6048
Ho 0.0436 0.2148 0.3722
Ho 0.5000 0.0000 0.5000
Ho 0.5436 0.3722 0.2148
Ho 0.4564 0.6278 0.7852
In 0.2500 0.6048 0.3952
Nd 0.7500 0.0747 0.9253
Nd 0.7500 0.7753 0.2247
Nd 0.2500 0.2247 0.7753
Nd 0.2500 0.9253 0.0747
Ho 0.9564 0.7852 0.6278
Ho 0.0000 0.5000 0.0000


# 5
Density functional theory data (PBE-GGA) for an optimized crystal structure of CrInAgAu.

Output
Calculated density: 10.651 g cm⁻³
Total magnetic moment: 3.95 μB/cell
Formation energy from the elements: 0.095 eV per atom
Space group: No. 216

Lattice parameters (Å, degrees): 4.7025 4.7025 4.7025 60.00 60.00 60.00
Fractional coordinates of all 4 atoms:
Cr 0.7500 0.7500 0.7500
Ag 0.0000 0.0000 0.0000
Au 0.5000 0.5000 0.5000
In 0.2500 0.2500 0.2500


# 6
Density functional theory data (PBE-GGA) for an optimized crystal structure of CdBi2H2.

Output
Energy above the most stable polymorph in this dataset: 3.287 kcal/mol of atoms
Calculated density: 6.995 g cm⁻³
Total magnetic moment: 0.00 μB/cell
Space group: No. 127

Lattice parameters (Å, degrees): 7.9853 7.9853 3.9640 90.00 90.00 90.00
Fractional coordinates of all 10 atoms:
H 0.7998 0.7002 0.5000
Bi 0.8564 0.6436 0.0000
H 0.2998 0.7998 0.5000
H 0.2002 0.2998 0.5000
Bi 0.6436 0.1436 0.0000
Bi 0.3564 0.8564 0.0000
Cd 0.0000 0.0000 0.0000
Bi 0.1436 0.3564 0.0000
H 0.7002 0.2002 0.5000
Cd 0.5000 0.5000 0.0000


# 7
Density functional theory data (PBE-GGA) for an optimized crystal structure of LiYScSi.

Output
Raw formation energy: -0.393 eV per atom
Calculated density: 3.546 g cm⁻³
Total magnetic moment: 0.00 μB/cell
Space group: No. 216

Lattice parameters (Å, degrees): 4.8181 4.8181 4.8181 60.00 60.00 60.00
Fractional coordinates of all 4 atoms:
Y 0.5000 0.5000 0.5000
Sc 0.0000 0.0000 0.0000
Si 0.7500 0.7500 0.7500
Li 0.2500 0.2500 0.2500


Calculated volume
In order: 159.0 179.9 298.1 372.0 73.5 252.8 79.1
Unit: Å³ per cell